[1]
Entry from the Alexandria database: a relaxed structure of MnBPdAuI (GGA-PBE). Values from VASP.

```
&SYSTEM
  ibrav = 0, nat = 5, ntyp = 5
/
ATOMIC_SPECIES
Mn 54.94 Mn.upf
B 10.81 B.upf
Pd 106.42 Pd.upf
Au 196.97 Au.upf
I 126.90 I.upf
CELL_PARAMETERS angstrom
3.3820 0.0000 0.0000
0.0255 4.2734 0.0000
0.0020 0.4892 7.1804
ATOMIC_POSITIONS crystal
Mn 0.0000 0.0000 0.0000
B 0.4999 0.0132 0.8065
Pd 0.0001 0.9958 0.6313
Au 0.5000 0.5037 0.8720
I 0.5003 0.9101 0.3125
```

Properties
- mass density (Mg/m³) = 7.94
- polymorph energy (0 for the lowest one) (meV/atom) = 7
- formation energy from raw total energies (eV per formula unit) = 0.54

***

[2]
Entry from the Alexandria database: a relaxed structure of MnBPdAuI (GGA-PBE). Values from VASP.

```
&SYSTEM
  ibrav = 0, nat = 5, ntyp = 5
/
ATOMIC_SPECIES
Mn 54.94 Mn.upf
B 10.81 B.upf
Pd 106.42 Pd.upf
Au 196.97 Au.upf
I 126.90 I.upf
CELL_PARAMETERS angstrom
3.1854 -1.8317 0.0000
3.1854 1.8317 0.0000
-0.0057 0.0000 8.1875
ATOMIC_POSITIONS crystal
Mn 0.0000 0.0000 0.0000
B 0.9996 0.9996 0.3376
Pd 0.6665 0.6665 0.4270
Au 0.3328 0.3328 0.2060
I 0.6671 0.6671 0.7756
```

Properties
- mass density (Mg/m³) = 8.62
- polymorph energy (0 for the lowest one) (meV/atom) = 97
- formation energy from raw total energies (eV per formula unit) = 0.99

***

[3]
Entry from the Alexandria database: a relaxed structure of MnBPdAuI (GGA-PBE). Values from VASP.

```
&SYSTEM
  ibrav = 0, nat = 5, ntyp = 5
/
ATOMIC_SPECIES
Mn 54.94 Mn.upf
B 10.81 B.upf
Pd 106.42 Pd.upf
Au 196.97 Au.upf
I 126.90 I.upf
CELL_PARAMETERS angstrom
1.6722 0.9654 9.6201
-1.6722 0.9654 9.6201
0.0000 -1.9309 9.6201
ATOMIC_POSITIONS crystal
Mn 0.0000 0.0000 0.0000
B 0.2949 0.2949 0.2949
Pd 0.5986 0.5986 0.5986
Au 0.3983 0.3983 0.3983
I 0.5004 0.5004 0.5004
```

Properties
- mass density (Mg/m³) = 8.84
- polymorph energy (0 for the lowest one) (meV/atom) = 48
- formation energy from raw total energies (eV per formula unit) = 0.75